1.
KTlCr2 | GGA-PBE | optimized geometry

## Properties
SG: Cm
Energy above the lowest structure with this stoichiometry: 13.8 kJ per mole of atoms
Formation enthalpy at 0 K: 0.668 eV/atom

abc: 4.485 4.485 8.097
angles: 95.43 95.43 40.65
Positions (direct):
K: 0.000 0.000 0.000
Tl: 0.239 0.239 0.659
Cr: 0.494 0.494 0.413
Cr: 0.767 0.767 0.340

---

2.
KTl2Cr | GGA-PBE | optimized geometry

## Properties
SG: Immm
Energy above the lowest structure with this stoichiometry: 14.4 kJ per mole of atoms
Formation enthalpy at 0 K: 0.435 eV/atom

abc: 6.076 6.076 6.076
angles: 139.37 122.92 72.40
Positions (direct):
K: 0.000 0.000 0.000
Tl: 0.290 0.790 0.500
Tl: 0.710 0.210 0.500
Cr: 0.500 0.500 0.000

---

3.
KTl2CrW | GGA-PBE | optimized geometry

## Properties
SG: P4/mmm
Formation enthalpy at 0 K: 2.363 eV/atom

abc: 5.864 5.864 5.335
angles: 90.00 90.00 90.00
Positions (direct):
K: 0.000 0.000 0.000
Tl: 0.000 0.500 0.000
Tl: 0.500 0.000 0.000
Cr: 0.000 0.000 0.500
W: 0.500 0.500 0.500

---

4.
K2TlZnCr | GGA-PBE | optimized geometry

## Properties
SG: P4/mmm
Formation enthalpy at 0 K: 0.658 eV/atom

abc: 6.570 6.570 5.343
angles: 90.00 90.00 90.00
Positions (direct):
K: 0.000 0.500 0.000
K: 0.500 0.000 0.000
Tl: 0.000 0.000 0.500
Zn: 0.500 0.500 0.500
Cr: 0.000 0.000 0.000

---

no.,total magnetic moment (Bohr magnetons per cell)
1,0.05
2,4.42
3,9.20
4,4.68